# 1
The following is a DFT calculation (PBE) of a relaxed structure of CaNbRh.

Output
ΔE to the lowest computed polymorph (eV per formula unit): 0.79
VASP energy (eV/atom): -6.51
Crystal system: triclinic
E_form (eV/atom): -0.04

a b c (Å): 3.226 4.383 10.958
angles (deg): 84.08 81.82 68.58
Fractional coordinates of all 6 atoms:
Ca  0.755  0.764  0.797
Nb  0.450  0.640  0.526
Rh  0.130  0.193  0.614
Nb  0.803  0.081  0.372
Ca  0.356  0.243  0.094
Rh  0.572  0.644  0.268

***

# 2
The following is a DFT calculation (PBE) of a relaxed structure of CaNbRh.

Output
ΔE to the lowest computed polymorph (eV per formula unit): 0.39
VASP energy (eV/atom): -6.65
Crystal system: tetragonal
E_form (eV/atom): -0.17

a b c (Å): 4.026 4.026 8.152
angles (deg): 90.00 90.00 90.00
Fractional coordinates of all 6 atoms:
Nb  0.000  0.000  0.500
Ca  0.500  0.000  0.147
Nb  0.500  0.500  0.500
Ca  0.000  0.500  0.853
Rh  0.500  0.000  0.726
Rh  0.000  0.500  0.274

***

# 3
The following is a DFT calculation (PBE) of a relaxed structure of CaNbRuRh.

Output
VASP energy (eV/atom): -7.29
Crystal system: cubic
E_form (eV/atom): -0.11

a b c (Å): 4.610 4.610 4.610
angles (deg): 60.00 60.00 60.00
Fractional coordinates of all 4 atoms:
Ca  0.250  0.250  0.250
Ru  0.000  0.000  0.000
Nb  0.750  0.750  0.750
Rh  0.500  0.500  0.500

***

# 4
The following is a DFT calculation (PBE) of a relaxed structure of CaNb2SnRh.

Output
VASP energy (eV/atom): -5.03
Crystal system: tetragonal
E_form (eV/atom): 1.67

a b c (Å): 4.876 4.661 4.876
angles (deg): 90.00 90.00 90.00
Fractional coordinates of all 5 atoms:
Rh  0.000  0.500  0.000
Ca  0.000  0.000  0.000
Nb  0.500  0.000  0.000
Sn  0.500  0.500  0.500
Nb  0.000  0.000  0.500

***

The following M_tot values (in μB/cell) correspond, in order, to the records above: 0.0, 0.0, 0.0, 0.0.